No. 1
VASP calculation (PBE) on crystalline KCdNi2 at its relaxed geometry.

Unit cell a=2.946 b=5.246 c=4.791 alpha=90.00 beta=90.00 gamma=90.00
Site moments in Bohr magnetons follow the coordinates.
Positions (direct):
Cd (0.500, 0.000, 0.500)  0.00
K (0.000, 0.500, 0.500)  -0.01
Ni (0.000, 0.000, 0.000)  0.20
Ni (0.500, 0.500, 0.000)  0.30

* formation energy: 775 meV/atom
* DOS at the Fermi energy: 3.997 states/eV/f.u.
* SG: Pmmm (47)
* M_tot: 0.42 μB/f.u.

No. 2
VASP calculation (PBE) on crystalline KCdNi2 at its relaxed geometry.

Unit cell a=4.761 b=4.761 c=4.761 alpha=60.00 beta=60.00 gamma=60.00
Positions (direct):
Cd (0.500, 0.500, 0.500)
K (0.750, 0.750, 0.750)
Ni (0.000, 0.000, 0.000)
Ni (0.250, 0.250, 0.250)

* formation energy: 796 meV/atom
* DOS at the Fermi energy: 5.309 states/eV/f.u.
* SG: F-43m (216)
* M_tot: 0.06 μB/f.u.